DFT (PBE with a Hubbard U) results for a relaxed FeBMo2O crystal.

Calculated values
total DFT energy (no corrections): -5.197 eV per atom
symmetry: No. 123

a = 4.471 Å, b = 3.971 Å, c = 4.471 Å
α = 90.00°, β = 90.00°, γ = 90.00°
Positions (direct):
Mo (0.000, 0.000, 0.500)
Mo (0.500, 0.000, 0.000)
B (0.000, 0.000, 0.000)
Fe (0.000, 0.500, 0.000)
O (0.500, 0.500, 0.500)